*P*
DFT (PBE) results for a relaxed ZrSiOs3 crystal.

The calculation puts the volume at 113 Å³/cell. The calculation puts the density of states at the Fermi level at 7.30 states/eV/f.u. The value obtained for the magnetic moment is 0.5 μB per formula unit.

a b c (Å): 4.8357 4.8357 4.8357
angles (deg): 90.00 90.00 90.00
Element x y z (fractional)
Si1 0.5000 0.5000 0.5000
Os1 0.0000 0.5000 0.0000
Os2 0.0000 0.0000 0.5000
Os3 0.5000 0.0000 0.0000
Zr1 0.0000 0.0000 0.0000


*Q*
DFT (PBE) results for a relaxed ZrSiOs3 crystal.

The calculation puts the volume at 85 Å³/cell. The calculation puts the density of states at the Fermi level at 1.57 states/eV/f.u. The value obtained for the magnetic moment is 0.0 μB per formula unit.

a b c (Å): 4.3972 4.3972 4.3972
angles (deg): 90.00 90.00 90.00
Element x y z (fractional)
Si1 0.0000 0.0000 0.0000
Os1 0.0000 0.5000 0.0000
Os2 0.0000 0.0000 0.5000
Os3 0.5000 0.0000 0.0000
Zr1 0.5000 0.5000 0.5000


Relative calculated energies, zero for the most stable structure, unit meV/atom: *P* 2288; *Q* 0.


*P*
DFT (PBE) results for a relaxed Zr2SiOs2 crystal.

The calculation puts the volume at 106 Å³/cell. The calculation puts the density of states at the Fermi level at 2.90 states/eV/f.u. The value obtained for the magnetic moment is 0.0 μB per formula unit.

a b c (Å): 4.4597 4.4597 6.1883
angles (deg): 68.88 68.88 90.00
Element x y z (fractional)
Si1 0.0000 0.0000 0.0000
Os1 0.3874 0.3874 0.2251
Os2 0.6126 0.6126 0.7749
Zr1 0.7500 0.2500 0.5000
Zr2 0.2500 0.7500 0.5000


*Q*
DFT (PBE) results for a relaxed Zr2SiOs2 crystal.

The calculation puts the volume at 179 Å³/cell. The calculation puts the density of states at the Fermi level at 4.23 states/eV/f.u. The value obtained for the magnetic moment is 0.0 μB per formula unit.

a b c (Å): 6.2766 6.2766 4.5411
angles (deg): 90.00 90.00 90.00
Element x y z (fractional)
Si1 0.0000 0.0000 0.0000
Si2 0.5000 0.5000 0.0000
Os1 0.3599 0.8599 0.0000
Os2 0.8599 0.6401 0.0000
Os3 0.6401 0.1401 0.0000
Os4 0.1401 0.3599 0.0000
Zr1 0.1813 0.6813 0.5000
Zr2 0.6813 0.8187 0.5000
Zr3 0.8187 0.3187 0.5000
Zr4 0.3187 0.1813 0.5000


Relative calculated energies, zero for the most stable structure, unit meV/atom: *P* 776; *Q* 0.


*P*
DFT (PBE) results for a relaxed SrSm2Os crystal.

The calculation puts the volume at 159 Å³/cell. The calculation puts the density of states at the Fermi level at 2.54 states/eV/f.u. The value obtained for the magnetic moment is 0.0 μB per formula unit.

a b c (Å): 4.0930 4.0930 11.2009
angles (deg): 79.47 79.47 60.00
Element x y z (fractional)
Sr1 0.0000 0.0000 0.0000
Os1 0.5000 0.5000 0.5000
Sm1 0.1212 0.1212 0.6363
Sm2 0.8788 0.8788 0.3637


*Q*
DFT (PBE) results for a relaxed SrSm2Os crystal.

The calculation puts the volume at 127 Å³/cell. The calculation puts the density of states at the Fermi level at 2.80 states/eV/f.u. The value obtained for the magnetic moment is 0.0 μB per formula unit.

a b c (Å): 3.5225 3.5225 10.2477
angles (deg): 90.00 90.00 90.00
Element x y z (fractional)
Sr1 0.5000 0.5000 0.5000
Os1 0.5000 0.5000 0.0000
Sm1 0.0000 0.0000 0.8370
Sm2 0.0000 0.0000 0.1630


Relative calculated energies, zero for the most stable structure, unit meV/atom: *P* 184; *Q* 0.


*P*
DFT (PBE) results for a relaxed TbSmOs crystal.

The calculation puts the volume at 79 Å³/cell. The calculation puts the density of states at the Fermi level at 1.72 states/eV/f.u. The value obtained for the magnetic moment is 0.0 μB per formula unit.

a b c (Å): 3.4297 3.4297 7.1703
angles (deg): 103.84 103.84 90.00
Element x y z (fractional)
Tb1 0.2902 0.2902 0.5804
Os1 0.6685 0.6685 0.3370
Sm1 0.0413 0.0413 0.0825


*Q*
DFT (PBE) results for a relaxed TbSmOs crystal.

The calculation puts the volume at 317 Å³/cell. The calculation puts the density of states at the Fermi level at 2.49 states/eV/f.u. The value obtained for the magnetic moment is 0.0 μB per formula unit.

a b c (Å): 5.9809 7.2291 7.7707
angles (deg): 109.43 90.00 90.00
Element x y z (fractional)
Os1 0.6092 0.1488 0.4998
Os2 0.1092 0.8512 0.0002
Os3 0.3908 0.8512 0.5002
Os4 0.8908 0.1488 0.9998
Sm1 0.3238 0.5813 0.6847
Sm2 0.1762 0.5813 0.1847
Sm3 0.6762 0.4187 0.3153
Sm4 0.8238 0.4187 0.8153
Tb1 0.3755 0.1197 0.8585
Tb2 0.1245 0.1197 0.3585
Tb3 0.6245 0.8803 0.1415
Tb4 0.8755 0.8803 0.6415


Relative calculated energies, zero for the most stable structure, unit meV/atom: *P* 0; *Q* 15.


*P*
DFT (PBE) results for a relaxed Tb3SmOs crystal.

The calculation puts the volume at 163 Å³/cell. The calculation puts the density of states at the Fermi level at 7.46 states/eV/f.u. The value obtained for the magnetic moment is 0.3 μB per formula unit.

a b c (Å): 5.4598 5.4598 5.4598
angles (deg): 90.00 90.00 90.00
Element x y z (fractional)
Tb1 0.0000 0.5000 0.0000
Tb2 0.0000 0.0000 0.5000
Tb3 0.5000 0.0000 0.0000
Os1 0.0000 0.0000 0.0000
Sm1 0.5000 0.5000 0.5000


*Q*
DFT (PBE) results for a relaxed Tb3SmOs crystal.

The calculation puts the volume at 579 Å³/cell. The calculation puts the density of states at the Fermi level at 5.00 states/eV/f.u. The value obtained for the magnetic moment is 0.0 μB per formula unit.

a b c (Å): 5.1151 8.5766 13.1965
angles (deg): 90.00 90.00 90.00
Element x y z (fractional)
Tb1 0.2500 0.5839 0.0531
Tb2 0.7500 0.4161 0.9469
Tb3 0.2500 0.0839 0.4469
Tb4 0.7500 0.9161 0.5531
Tb5 0.2500 0.2808 0.6745
Tb6 0.7500 0.2192 0.1745
Tb7 0.2500 0.7808 0.8255
Tb8 0.7500 0.5579 0.7206
Tb9 0.2500 0.4421 0.2794
Tb10 0.7500 0.0579 0.7794
Tb11 0.7500 0.7192 0.3255
Tb12 0.2500 0.9421 0.2206
Sm1 0.7500 0.8562 0.0368
Sm2 0.2500 0.6438 0.5368
Sm3 0.7500 0.3562 0.4632
Sm4 0.2500 0.1438 0.9632
Os1 0.2500 0.9560 0.6508
Os2 0.2500 0.4560 0.8492
Os3 0.7500 0.5440 0.1508
Os4 0.7500 0.0440 0.3492


Relative calculated energies, zero for the most stable structure, unit meV/atom: *P* 105; *Q* 0.


*P*
DFT (PBE) results for a relaxed SmThOs2 crystal.

The calculation puts the volume at 88 Å³/cell. The calculation puts the density of states at the Fermi level at 1.78 states/eV/f.u. The value obtained for the magnetic moment is 0.0 μB per formula unit.

a b c (Å): 3.5279 4.9825 4.9825
angles (deg): 90.00 90.00 90.00
Element x y z (fractional)
Os1 0.0000 0.0000 0.5000
Os2 0.0000 0.5000 0.0000
Sm1 0.5000 0.5000 0.5000
Th1 0.5000 0.0000 0.0000


*Q*
DFT (PBE) results for a relaxed SmThOs2 crystal.

The calculation puts the volume at 88 Å³/cell. The calculation puts the density of states at the Fermi level at 3.56 states/eV/f.u. The value obtained for the magnetic moment is 0.0 μB per formula unit.

a b c (Å): 4.9883 4.9883 4.9883
angles (deg): 60.00 60.00 60.00
Element x y z (fractional)
Os1 0.2500 0.2500 0.2500
Os2 0.7500 0.7500 0.7500
Sm1 0.5000 0.5000 0.5000
Th1 0.0000 0.0000 0.0000


Relative calculated energies, zero for the most stable structure, unit meV/atom: *P* 0; *Q* 5.


*P*
DFT (PBE) results for a relaxed Sm2TlOs crystal.

The calculation puts the volume at 98 Å³/cell. The calculation puts the density of states at the Fermi level at 2.94 states/eV/f.u. The value obtained for the magnetic moment is 0.0 μB per formula unit.

a b c (Å): 5.1715 5.1715 5.1715
angles (deg): 60.00 60.00 60.00
Element x y z (fractional)
Tl1 0.5000 0.5000 0.5000
Os1 0.0000 0.0000 0.0000
Sm1 0.2500 0.2500 0.2500
Sm2 0.7500 0.7500 0.7500


*Q*
DFT (PBE) results for a relaxed Sm2TlOs crystal.

The calculation puts the volume at 137 Å³/cell. The calculation puts the density of states at the Fermi level at 3.37 states/eV/f.u. The value obtained for the magnetic moment is 0.0 μB per formula unit.

a b c (Å): 3.9978 3.9978 10.1680
angles (deg): 78.66 78.66 60.00
Element x y z (fractional)
Tl1 0.0000 0.0000 0.0000
Os1 0.5000 0.5000 0.5000
Sm1 0.1145 0.1145 0.6565
Sm2 0.8855 0.8855 0.3435


*R*
DFT (PBE) results for a relaxed Sm2TlOs crystal.

The calculation puts the volume at 102 Å³/cell. The calculation puts the density of states at the Fermi level at 2.72 states/eV/f.u. The value obtained for the magnetic moment is 0.0 μB per formula unit.

a b c (Å): 3.4360 3.4360 8.6813
angles (deg): 90.00 90.00 90.00
Element x y z (fractional)
Tl1 0.5000 0.5000 0.5000
Os1 0.5000 0.5000 0.0000
Sm1 0.0000 0.0000 0.8013
Sm2 0.0000 0.0000 0.1987


Relative calculated energies, zero for the most stable structure, unit meV/atom: *P* 148; *Q* 364; *R* 0.


*P*
DFT (PBE) results for a relaxed SmTm2Os crystal.

The calculation puts the volume at 104 Å³/cell. The calculation puts the density of states at the Fermi level at 2.56 states/eV/f.u. The value obtained for the magnetic moment is 0.0 μB per formula unit.

a b c (Å): 3.3837 3.3837 9.1085
angles (deg): 90.00 90.00 90.00
Element x y z (fractional)
Tm1 0.0000 0.0000 0.8218
Tm2 0.0000 0.0000 0.1782
Os1 0.5000 0.5000 0.0000
Sm1 0.5000 0.5000 0.5000


*Q*
DFT (PBE) results for a relaxed SmTm2Os crystal.

The calculation puts the volume at 421 Å³/cell. The calculation puts the density of states at the Fermi level at 3.51 states/eV/f.u. The value obtained for the magnetic moment is 0.0 μB per formula unit.

a b c (Å): 6.3205 7.4430 8.9427
angles (deg): 90.00 90.00 90.00
Element x y z (fractional)
Sm1 0.6260 0.5382 0.2500
Sm2 0.8740 0.0382 0.2500
Sm3 0.3740 0.4618 0.7500
Sm4 0.1260 0.9618 0.7500
Tm1 0.1620 0.6736 0.0634
Tm2 0.3380 0.1736 0.4366
Tm3 0.8380 0.3264 0.5634
Tm4 0.6620 0.8264 0.9366
Tm5 0.8380 0.3264 0.9366
Tm6 0.6620 0.8264 0.5634
Tm7 0.1620 0.6736 0.4366
Tm8 0.3380 0.1736 0.0634
Os1 0.0492 0.3821 0.2500
Os2 0.4508 0.8821 0.2500
Os3 0.9508 0.6179 0.7500
Os4 0.5492 0.1179 0.7500


*R*
DFT (PBE) results for a relaxed SmTm2Os crystal.

The calculation puts the volume at 100 Å³/cell. The calculation puts the density of states at the Fermi level at 3.71 states/eV/f.u. The value obtained for the magnetic moment is 0.0 μB per formula unit.

a b c (Å): 4.7594 4.7594 5.8071
angles (deg): 65.81 65.81 60.00
Element x y z (fractional)
Tm1 0.2761 0.2761 0.1716
Tm2 0.7239 0.7239 0.8284
Os1 0.0000 0.0000 0.0000
Sm1 0.5000 0.5000 0.5000


Relative calculated energies, zero for the most stable structure, unit meV/atom: *P* 71; *Q* 0; *R* 333.


*P*
DFT (PBE) results for a relaxed SmTm3Os crystal.

The calculation puts the volume at 291 Å³/cell. The calculation puts the density of states at the Fermi level at 5.56 states/eV/f.u. The value obtained for the magnetic moment is 0.1 μB per formula unit.

a b c (Å): 7.2749 7.2749 7.2071
angles (deg): 107.11 113.48 108.29
Element x y z (fractional)
Sm1 0.7135 0.0544 0.7679
Sm2 0.2865 0.9456 0.2321
Tm1 0.8554 0.0632 0.3082
Tm2 0.2451 0.4529 0.3082
Tm3 0.7549 0.5471 0.6918
Tm4 0.6972 0.4413 0.1385
Tm5 0.1446 0.9368 0.6918
Tm6 0.3028 0.5587 0.8615
Os1 0.6332 0.7465 0.3797
Os2 0.3668 0.2535 0.6203


*Q*
DFT (PBE) results for a relaxed SmTm3Os crystal.

The calculation puts the volume at 155 Å³/cell. The calculation puts the density of states at the Fermi level at 7.04 states/eV/f.u. The value obtained for the magnetic moment is 0.0 μB per formula unit.

a b c (Å): 5.3670 5.3670 5.3670
angles (deg): 90.00 90.00 90.00
Element x y z (fractional)
Tm1 0.0000 0.5000 0.0000
Tm2 0.0000 0.0000 0.5000
Tm3 0.5000 0.0000 0.0000
Os1 0.0000 0.0000 0.0000
Sm1 0.5000 0.5000 0.5000


Relative calculated energies, zero for the most stable structure, unit meV/atom: *P* 0; *Q* 129.


*P*
DFT (PBE) results for a relaxed SmY2Os crystal.

The calculation puts the volume at 221 Å³/cell. The calculation puts the density of states at the Fermi level at 3.98 states/eV/f.u. The value obtained for the magnetic moment is 0.0 μB per formula unit.

a b c (Å): 3.9678 6.3979 9.1424
angles (deg): 90.00 90.00 108.07
Element x y z (fractional)
Sm1 0.9238 0.8476 0.2500
Sm2 0.0762 0.1524 0.7500
Y1 0.3541 0.7083 0.5676
Y2 0.6459 0.2917 0.4324
Y3 0.3541 0.7083 0.9324
Y4 0.6459 0.2917 0.0676
Os1 0.7426 0.4853 0.7500
Os2 0.2574 0.5147 0.2500


*Q*
DFT (PBE) results for a relaxed SmY2Os crystal.

The calculation puts the volume at 114 Å³/cell. The calculation puts the density of states at the Fermi level at 6.70 states/eV/f.u. The value obtained for the magnetic moment is 0.0 μB per formula unit.

a b c (Å): 3.4644 3.4644 11.1646
angles (deg): 81.07 81.07 60.00
Element x y z (fractional)
Y1 0.1061 0.1061 0.6818
Y2 0.8939 0.8939 0.3182
Os1 0.5000 0.5000 0.5000
Sm1 0.0000 0.0000 0.0000


*R*
DFT (PBE) results for a relaxed SmY2Os crystal.

The calculation puts the volume at 109 Å³/cell. The calculation puts the density of states at the Fermi level at 2.74 states/eV/f.u. The value obtained for the magnetic moment is 0.0 μB per formula unit.

a b c (Å): 3.4262 3.4262 9.2785
angles (deg): 90.00 90.00 90.00
Element x y z (fractional)
Y1 0.0000 0.0000 0.8212
Y2 0.0000 0.0000 0.1788
Os1 0.5000 0.5000 0.0000
Sm1 0.5000 0.5000 0.5000


*S*
DFT (PBE) results for a relaxed SmY2Os crystal.

The calculation puts the volume at 438 Å³/cell. The calculation puts the density of states at the Fermi level at 3.48 states/eV/f.u. The value obtained for the magnetic moment is 0.0 μB per formula unit.

a b c (Å): 6.4336 7.4411 9.1573
angles (deg): 90.00 90.00 90.00
Element x y z (fractional)
Sm1 0.6302 0.5412 0.2500
Sm2 0.8698 0.0412 0.2500
Sm3 0.3698 0.4588 0.7500
Sm4 0.1302 0.9588 0.7500
Y1 0.1669 0.6738 0.0642
Y2 0.3331 0.1738 0.4358
Y3 0.8331 0.3262 0.5642
Y4 0.6669 0.8262 0.9358
Y5 0.8331 0.3262 0.9358
Y6 0.6669 0.8262 0.5642
Y7 0.1669 0.6738 0.4358
Y8 0.3331 0.1738 0.0642
Os1 0.0414 0.3834 0.2500
Os2 0.4586 0.8834 0.2500
Os3 0.9586 0.6166 0.7500
Os4 0.5414 0.1166 0.7500


Relative calculated energies, zero for the most stable structure, unit meV/atom: *P* 20; *Q* 502; *R* 110; *S* 0.